(1)
## TaPb2O6 (PBE)

Data for a relaxed TaPb2O6 crystal.

Structure (extended XYZ):
```
18
Lattice="5.3815 0.0000 0.0000 0.0000 5.9643 0.0000 -5.3299 0.0000 7.6457" Properties=species:S:1:pos:R:3 pbc="T T T"
Pb -0.0176 0.4326 5.8180
Pb 2.6474 2.5495 1.9952
Pb -2.5959 3.4148 5.6505
Pb 0.0691 5.5317 1.8277
O 1.9913 4.1820 3.3381
O -0.6876 3.3643 1.8526
O 3.4041 0.3822 1.9702
O -1.9397 1.7823 4.3077
O 1.0354 0.9180 3.2926
O -1.6296 2.0641 7.1154
O -3.3526 5.5821 5.6755
O 0.7252 1.1998 0.4848
O 0.7391 2.6000 5.7931
O -0.6737 4.7645 7.1609
O 1.6811 3.9002 0.5303
O -0.9839 5.0463 4.3531
Ta -2.6650 0.0000 3.8229
Ta 0.0000 2.9822 0.0000
```

Results
- M_tot (μB per cell) = 0.0
- SG = P2_1/c (14)
- uncorrected energy (eV/f.u.) = -61.81

=====

(2)
## Ta4PbO11 (PBE)

Data for a relaxed Ta4PbO11 crystal.

Structure (extended XYZ):
```
32
Lattice="3.1198 1.8012 12.3165 -3.1198 1.8012 12.3165 0.0000 -3.6025 12.3165" Properties=species:S:1:pos:R:3 pbc="T T T"
O 1.5156 -1.5486 23.4674
O 0.0000 0.0000 14.9858
O 0.0000 0.0000 21.9461
O -2.0989 -0.5382 23.4674
O 2.1982 0.4665 13.4441
O -2.3371 -0.4454 15.3836
O 0.5723 1.5222 19.6182
O 0.0000 0.0000 33.4647
O 1.0321 -1.2567 19.6182
O -0.9212 1.3293 17.3215
O 1.5543 -1.8012 15.3836
O -0.7671 1.3305 9.2222
O 0.0000 0.0000 3.4638
O 0.7828 2.2467 15.3836
O 1.6118 0.1331 17.3215
O -1.6044 -0.2654 19.6182
O 1.5358 -0.0009 9.2222
O -1.5031 1.6704 13.4441
O -0.7687 -1.3296 9.2222
O 0.5833 2.0868 23.4674
O -0.6951 -2.1369 13.4441
O -0.6906 -1.4624 17.3215
Ta 0.0000 0.0000 0.0043
Ta 1.9642 0.1991 15.3851
Ta -1.1545 1.6015 15.3851
Ta -0.8097 -1.8006 15.3851
Ta 1.1196 -1.6638 21.5439
Ta 0.0000 0.0000 18.4552
Ta -2.0007 -0.1377 21.5439
Ta 0.8811 1.8015 21.5439
Pb 0.0000 0.0000 24.7027
Pb 0.0000 0.0000 30.6829
```

Results
- M_tot (μB per cell) = 0.0
- SG = R3 (146)
- uncorrected energy (eV/f.u.) = -148.27

=====

(3)
## TaPb3O6 (PBE)

Data for a relaxed TaPb3O6 crystal.

Structure (extended XYZ):
```
10
Lattice="-2.9830 2.9830 4.2275 2.9830 -2.9830 4.2275 2.9830 2.9830 -4.2275" Properties=species:S:1:pos:R:3 pbc="T T T"
O -1.3967 1.3967 4.2275
O 1.5863 1.5863 0.0000
O 1.3967 -1.3967 4.2275
O 0.0000 0.0000 6.2041
O 0.0000 0.0000 2.2508
O 1.3967 1.3967 4.2275
Ta 0.0000 0.0000 4.2275
Pb 0.0000 0.0000 0.0000
Pb 0.0000 2.9830 2.1137
Pb 2.9830 0.0000 2.1137
```

Results
- M_tot (μB per cell) = 0.0
- SG = I4/mmm (139)
- uncorrected energy (eV/f.u.) = -67.99

=====

(4)
## TaPbO3 (PBE)

Data for a relaxed TaPbO3 crystal.

Structure (extended XYZ):
```
10
Lattice="-0.3103 -1.4147 -5.1755 -4.1839 -2.8829 -1.7515 -4.6050 3.8387 -3.5635" Properties=species:S:1:pos:R:3 pbc="T T T"
Pb -3.1490 1.3685 -2.9756
Pb -5.9501 -1.8274 -7.5149
O -3.3892 -2.2176 -6.5066
O -5.7099 1.7587 -3.9839
O -2.3685 -1.0241 -4.0199
O -4.1952 2.0557 -6.4874
O -4.9039 -2.5146 -4.0031
O -6.7307 0.5652 -6.4706
Ta -3.0882 -2.7088 -4.6552
Ta -6.0110 2.2500 -5.8354
```

Results
- M_tot (μB per cell) = 0.0
- SG = R-3 (148)
- uncorrected energy (eV/f.u.) = -40.86

=====

(5)
## Ta2PbO6 (PBE)

Data for a relaxed Ta2PbO6 crystal.

Structure (extended XYZ):
```
18
Lattice="-2.3919 -1.5785 -4.0895 2.6168 -4.2517 0.1106 -6.8603 -4.0770 5.5863" Properties=species:S:1:pos:R:3 pbc="T T T"
Ta -1.0401 -3.6001 -1.0509
Ta -2.2776 -1.3536 1.8546
Ta -4.5827 -2.7235 3.7317
Ta -5.5953 -6.3072 2.6583
O -4.9887 -4.0618 -0.5975
O -4.7627 -4.4827 2.8266
O -1.6467 -5.8454 2.2049
O -1.8728 -5.4246 -1.2192
O -4.6624 -7.0824 1.0524
O -2.6700 -3.0034 -2.0172
O -6.7407 -5.4226 1.2975
O 0.1499 -3.8852 -2.6515
O 0.1053 -4.4846 0.3099
O -3.9654 -6.9038 3.6246
O -1.9730 -2.8248 0.5550
O 0.0750 -1.9450 -1.3274
Pb -3.3177 -4.9536 0.8037
Pb 0.0000 0.0000 0.0000
```

Results
- M_tot (μB per cell) = 0.0
- excess energy over the best structure of this formula in the dataset (meV/atom) = 103
- SG = P4_2/mnm (136)

=====

(6)
## Ta2PbO6 (PBE)

Data for a relaxed Ta2PbO6 crystal.

Structure (extended XYZ):
```
9
Lattice="5.3409 0.0000 0.0000 -2.6704 4.6253 0.0000 0.0000 0.0000 5.2356" Properties=species:S:1:pos:R:3 pbc="T T T"
O -1.6481 2.8545 3.7236
O -1.0224 1.7708 1.5119
O 3.2961 0.0000 3.7236
O 1.0224 1.7708 3.7236
O 2.0447 0.0000 1.5119
O 1.6481 2.8545 1.5119
Ta 2.6704 1.5418 2.6178
Ta 0.0000 3.0836 2.6178
Pb 0.0000 0.0000 0.0000
```

Results
- M_tot (μB per cell) = 0.0
- excess energy over the best structure of this formula in the dataset (meV/atom) = 0
- SG = P-31m (162)

=====

(7)
## Ta2Pb3O8 (PBE)

Data for a relaxed Ta2Pb3O8 crystal.

Structure (extended XYZ):
```
13
Lattice="4.8758 -2.9933 0.0000 4.8758 2.9933 0.0000 -3.6786 0.0000 6.7094" Properties=species:S:1:pos:R:3 pbc="T T T"
O 4.3687 0.4408 4.3165
O -1.1300 -0.7323 6.3833
O 1.3952 1.2910 5.2380
O 4.6779 1.2910 1.4714
O 7.2030 -0.7323 0.3260
O 2.0663 -1.3213 4.6642
O 4.0067 -1.3213 2.0452
O 1.7043 0.4408 2.3929
Pb 6.2136 -0.0305 2.7172
Pb -0.1406 -0.0305 3.9921
Pb 4.8758 -2.8287 0.0000
Ta 2.9266 0.1384 5.4422
Ta 3.1465 0.1384 1.2672
```

Results
- M_tot (μB per cell) = 0.0
- SG = C2 (5)
- uncorrected energy (eV/f.u.) = -100.49

=====

(8)
## Ta2Pb2O5 (PBE)

Data for a relaxed Ta2Pb2O5 crystal.

Structure (extended XYZ):
```
9
Lattice="6.6901 0.0000 0.0000 0.0000 4.4558 0.0000 0.0000 0.0000 4.4558" Properties=species:S:1:pos:R:3 pbc="T T T"
Pb 1.3516 2.2279 2.2279
Pb 5.3385 2.2279 2.2279
O 5.2419 0.0000 2.2279
O 5.2419 2.2279 0.0000
O 3.3451 2.2279 2.2279
O 1.4482 2.2279 0.0000
O 1.4482 0.0000 2.2279
Ta 0.0000 0.0000 0.0000
Ta 3.3451 0.0000 0.0000
```

Results
- M_tot (μB per cell) = 3.7
- SG = P4/mmm (123)
- uncorrected energy (eV/f.u.) = -54.96

=====

(9)
## Ta3PbO6 (PBE)

Data for a relaxed Ta3PbO6 crystal.

Structure (extended XYZ):
```
20
Lattice="4.4046 -2.5430 0.0000 4.4046 2.5430 0.0000 0.0000 0.0000 12.8333" Properties=species:S:1:pos:R:3 pbc="T T T"
O 4.4046 0.8509 8.3609
O 5.8705 1.6959 1.9442
O 2.9386 -1.6959 10.8891
O 2.9386 -1.6959 8.3608
O 5.8705 -1.6959 10.8891
O 5.8705 -1.6959 8.3608
O 4.4046 -0.8509 4.4725
O 4.4046 0.8509 10.8891
O 5.8705 1.6959 4.4725
O 2.9386 1.6959 4.4725
O 4.4046 -0.8509 1.9442
O 2.9386 1.6959 1.9442
Ta 2.9364 -0.0007 3.2083
Ta 4.4046 2.5423 3.2083
Ta 4.4046 -2.5423 9.6250
Ta 5.8728 -0.0007 3.2083
Ta 5.8728 0.0007 9.6250
Ta 2.9364 0.0007 9.6250
Pb 0.0000 0.0000 0.0000
Pb 0.0000 0.0000 6.4167
```

Results
- M_tot (μB per cell) = 0.0
- SG = P6_3/mcm (193)
- uncorrected energy (eV/f.u.) = -91.08

=====

(10)
## TaPbO3 (PBE)

Data for a relaxed TaPbO3 crystal.

Structure (extended XYZ):
```
10
Lattice="3.9376 0.0000 0.0000 0.0000 6.0657 0.0000 -1.3335 0.0000 6.6105" Properties=species:S:1:pos:R:3 pbc="T T T"
O 0.3280 6.0363 2.2288
O 2.2761 0.0294 4.3817
O 2.2761 3.0034 4.3817
O 0.3280 3.0622 2.2288
O 2.2808 4.5493 0.7658
O 0.3234 1.5164 5.8447
Ta 2.3234 1.5164 5.4480
Ta 0.2807 4.5493 1.1624
Pb 2.2945 1.5164 1.9568
Pb 0.3096 4.5493 4.6536
```

Results
- M_tot (μB per cell) = 0.0
- SG = P2_1/m (11)
- uncorrected energy (eV/f.u.) = -39.43

=====

(11)
## Ta2PbO4 (PBE)

Data for a relaxed Ta2PbO4 crystal.

Structure (extended XYZ):
```
14
Lattice="4.6889 -4.6886 0.0000 -4.6889 0.0000 -4.6886 4.6889 4.6886 0.0000" Properties=species:S:1:pos:R:3 pbc="T T T"
O 1.4287 3.2597 -3.2597
O 3.2602 1.4289 -3.2597
O 0.9157 -0.9154 -3.7732
O -0.9157 0.9154 -3.7732
O 5.6047 0.9154 -0.9154
O 1.4287 1.4289 -1.4289
O 3.2602 3.2597 -1.4289
O 3.7732 -0.9154 -0.9154
Ta 1.1722 1.1722 -3.5165
Ta -1.1722 -1.1722 -3.5165
Ta 3.5167 1.1722 -1.1722
Ta 5.8612 -1.1722 -1.1722
Pb 2.3445 -2.3443 -2.3443
Pb 0.0000 0.0000 0.0000
```

Results
- M_tot (μB per cell) = 0.8
- SG = Fd-3m (227)
- uncorrected energy (eV/f.u.) = -58.24

=====

(12)
## TaTlPb2O6 (PBE)

Data for a relaxed TaTlPb2O6 crystal.

Structure (extended XYZ):
```
10
Lattice="5.6684 -0.4599 -1.5836 1.2564 -3.0631 4.8877 -4.3032 -1.7557 -3.6401" Properties=species:S:1:pos:R:3 pbc="T T T"
Tl 0.0000 0.0000 0.0000
Pb 0.2078 -3.2901 1.4498
Pb 2.4138 -1.9885 -1.7858
O 0.2987 -2.4556 -3.2443
O 2.3229 -2.8230 2.9083
O 1.8303 -0.9312 0.8733
O -0.7320 -2.0409 -0.6419
O 3.3536 -3.2378 0.3059
O 5.0945 -2.5918 2.4308
Ta 3.4624 -1.7615 1.6520
```

Results
- M_tot (μB per cell) = 0.0
- excess energy over the best structure of this formula in the dataset (meV/atom) = 19
- SG = I4/m (87)

=====

(13)
## TaTlPb2O6 (PBE)

Data for a relaxed TaTlPb2O6 crystal.

Structure (extended XYZ):
```
10
Lattice="-0.2158 5.3636 2.2290 -5.1271 2.2220 1.5997 2.4339 -4.4413 3.1777" Properties=species:S:1:pos:R:3 pbc="T T T"
O -2.1355 -0.2067 4.6010
O -0.7736 3.3509 2.4053
O -3.1279 1.8449 2.1037
O -3.1276 4.1246 3.8173
O 0.2188 1.2994 4.9027
O 0.2185 -0.9803 3.1890
Pb -2.1353 2.2670 5.3472
Pb -0.7738 0.8773 1.6591
Tl 1.2169 -2.2207 1.5888
Ta -2.6715 3.7928 1.9143
```

Results
- M_tot (μB per cell) = 0.0
- excess energy over the best structure of this formula in the dataset (meV/atom) = 0
- SG = C2/m (12)

=====

(14)
## YTaPb2O6 (PBE)

Data for a relaxed YTaPb2O6 crystal.

Structure (extended XYZ):
```
10
Lattice="-1.5074 1.6988 4.6718 3.8246 -3.4959 1.1091 3.4383 4.4199 -0.6118" Properties=species:S:1:pos:R:3 pbc="T T T"
O 3.1006 2.9036 1.0925
O 4.1659 2.0023 3.5662
O 1.5896 0.6205 1.6029
O 2.6549 -0.2808 4.0766
O 3.2527 4.5969 3.2091
O 2.5028 -1.9742 1.9600
Pb 3.8956 0.0970 1.8685
Pb 1.8598 2.5257 3.3006
Y 0.0000 0.0000 0.0000
Ta 1.1586 -0.8986 2.8905
```

Results
- M_tot (μB per cell) = 0.0
- SG = P-1 (2)
- uncorrected energy (eV/f.u.) = -77.18

=====

(15)
## TbPbO4 (PBE)

Data for a relaxed TbPbO4 crystal.

Structure (extended XYZ):
```
12
Lattice="3.6855 0.0000 0.0000 -1.3549 6.4371 0.0000 -0.2447 -1.8693 6.8016" Properties=species:S:1:pos:R:3 pbc="T T T"
O 3.1602 -1.4332 6.6834
O -0.3945 2.3436 2.0425
O 1.1397 0.0572 2.9228
O -0.5594 2.2144 4.7669
O -0.4320 6.0262 0.0844
O 1.5672 4.4992 3.8737
O 1.3218 0.4229 5.7303
O 1.4141 4.1548 1.0806
Pb 3.1408 0.1158 4.5281
Pb -0.4029 4.4358 2.2964
Tb 1.4477 1.5904 1.1105
Tb 1.2830 2.9702 5.6993
```

Results
- M_tot (μB per cell) = 0.0
- SG = P1 (1)
- uncorrected energy (eV/f.u.) = -39.09

=====

(16)
## TbPbO3 (PBE)

Data for a relaxed TbPbO3 crystal.

Structure (extended XYZ):
```
20
Lattice="-4.1839 -1.3231 -3.8270 3.4324 -4.4945 -2.1986 -3.4396 -5.3753 5.6188" Properties=species:S:1:pos:R:3 pbc="T T T"
Pb -1.1337 -4.4621 -1.7460
Pb 0.6573 -8.3461 2.0680
Pb -4.8484 -2.8468 -2.4747
Pb -3.0573 -6.7309 1.3393
Tb 1.7162 -2.2473 -1.0993
Tb -0.0036 -4.9349 1.7101
Tb -2.0919 -0.6616 -1.9135
Tb -3.8117 -3.3492 0.8959
O -5.0112 -5.2423 1.5672
O -2.0742 -4.1175 2.1524
O -2.1169 -7.0755 -2.5591
O -0.8931 -5.1630 -4.5582
O -4.1641 -7.7644 -0.3270
O 0.8201 -5.9506 -1.9740
O -0.9964 -6.5666 0.4692
O -1.9710 -2.7139 -2.8750
O -3.1947 -4.6263 -0.8760
O -2.2201 -8.4790 2.4683
O -0.0270 -3.4285 -0.0797
O -3.2980 -6.0299 4.1514
```

Results
- M_tot (μB per cell) = 0.0
- SG = Pnma (62)
- uncorrected energy (eV/f.u.) = -33.93

=====

(17)
## TbPbO3 (PBE)

Data for a relaxed TbPbO3 crystal.

Structure (extended XYZ):
```
10
Lattice="2.1487 5.6396 0.1186 5.9218 1.0063 -0.5966 2.1571 2.5340 -5.0361" Properties=species:S:1:pos:R:3 pbc="T T T"
O 4.7088 6.7827 -3.1719
O 4.1172 4.9176 -0.7462
O 3.1485 4.1601 -3.8042
O 5.5189 2.3972 -2.3422
O 7.0792 5.0198 -1.7098
O 6.1105 4.2623 -4.7679
Pb 7.6708 6.8849 -4.1355
Pb 2.5569 2.2950 -1.3785
Tb 0.0000 0.0000 0.0000
Tb 5.1138 4.5900 -2.7570
```

Results
- M_tot (μB per cell) = 0.4
- SG = R-3c (167)
- uncorrected energy (eV/f.u.) = -33.54

=====

(18)
## TcPbO3 (PBE)

Data for a relaxed TcPbO3 crystal.

Structure (extended XYZ):
```
20
Lattice="-4.1586 2.5749 -2.8167 1.2229 -3.0381 -4.5829 -5.1323 -5.6732 2.3913" Properties=species:S:1:pos:R:3 pbc="T T T"
O -2.2565 -0.3834 -5.5965
O -2.7983 1.0925 -3.2579
O -2.7632 -4.4582 -2.9182
O -3.3050 -2.9823 -0.5796
O -5.8115 -5.7529 0.5882
O -4.7630 -3.1540 -4.4286
O -7.3514 -3.2241 -3.2778
O -5.3048 -1.6781 -2.0900
O -0.7165 -2.9122 -1.7305
O -5.2697 -7.2289 -1.7504
O -3.3145 -0.1632 -0.7846
O -4.7535 -5.9732 -4.2237
Pb -5.3194 -4.4694 -1.8707
Pb -5.4271 1.1319 -2.2462
Pb -2.6408 -7.2683 -2.7621
Pb -2.7486 -1.6670 -3.1376
Tc -1.9547 -4.3556 -1.0958
Tc -2.0793 1.2874 -1.4083
Tc -4.6455 -1.5491 -0.2127
Tc 0.6115 -1.5190 -2.2914
```

Results
- M_tot (μB per cell) = 2.8
- SG = Pnma (62)
- uncorrected energy (eV/f.u.) = -34.80

=====

(19)
## TcPbO3 (PBE)

Data for a relaxed TcPbO3 crystal.

Structure (extended XYZ):
```
5
Lattice="4.1071 0.0000 0.0000 0.0000 4.1071 0.0000 0.0000 0.0000 4.5520" Properties=species:S:1:pos:R:3 pbc="T T T"
O 0.0000 2.0536 3.3178
O 2.0536 0.0000 3.3178
O 2.0536 2.0536 0.3387
Pb 2.0536 2.0536 2.3522
Tc 0.0000 0.0000 3.8743
```

Results
- M_tot (μB per cell) = 3.3
- SG = P4mm (99)
- uncorrected energy (eV/f.u.) = -30.00